# 1
First-principles (meta-GGA SCAN) data for a PBEsol-optimized structure of Ba2NiP, as listed in the Alexandria database.

Cell: 7.352 7.352 7.352 Å, 90.00 90.00 90.00°
Space group F-43m (No. 216)
Inequivalent atoms, fractional coordinates:
Ba: 0.000 0.000 0.000 [4 per cell]
Ba: 0.250 0.250 0.250 [4 per cell]
Ni: 0.250 0.250 0.750 [4 per cell]
P: 0.000 0.000 0.500 [4 per cell]

Energy of formation (eV per formula unit): 0.6
Crystal system: cubic
E (eV per atom): -26.277

***

# 2
First-principles (meta-GGA SCAN) data for a PBEsol-optimized structure of CdTe2As, as listed in the Alexandria database.

Cell: 3.336 3.336 8.863 Å, 90.00 90.00 90.00°
Space group P4mm (No. 99)
Inequivalent atoms, fractional coordinates:
Cd: 0.000 0.000 0.000 [1 per cell]
Te: 0.000 0.000 0.589 [1 per cell]
Te: 0.500 0.500 0.256 [1 per cell]
As: 0.500 0.500 0.782 [1 per cell]

ΔE_f (raw) (meV per atom): 280.7
Distance to the lowest polymorph of the same formula (meV/atom): 253
Crystal system: tetragonal
E (eV per atom): -30.996

***

# 3
First-principles (meta-GGA SCAN) data for a PBEsol-optimized structure of Y2Co, as listed in the Alexandria database.

Cell: 6.208 6.229 3.862 Å, 90.00 90.00 90.00°
Space group Pnnm (No. 58)
Inequivalent atoms, fractional coordinates:
Y: 0.240 0.161 0.000 [4 per cell]
Co: 0.000 0.000 0.500 [2 per cell]

Energy of formation (eV per formula unit): -0.1
Crystal system: orthorhombic
E (eV per atom): -24.350

***

# 4
First-principles (meta-GGA SCAN) data for a PBEsol-optimized structure of LiGaNiF2, as listed in the Alexandria database.

Cell: 3.495 3.495 4.838 Å, 90.00 90.00 90.00°
Space group P4/mmm (No. 123)
Inequivalent atoms, fractional coordinates:
Li: 0.000 0.000 0.000 [1 per cell]
Ga: 0.000 0.000 0.500 [1 per cell]
Ni: 0.500 0.500 0.500 [1 per cell]
F: 0.000 0.500 0.000 [2 per cell]

ΔE_f (raw) (meV per atom): -1147.9
Crystal system: tetragonal
E (eV per atom): -9.546

***

One value per record, in order, for spin magnetization: 0.00; 0.00; 0.00; 1.02 μB/f.u..